Entry 1:
4
Lattice="3.7730 0.0000 0.0000 0.0000 3.7730 0.0000 0.0000 0.0000 9.3182" Properties=species:S:1:pos:R:3 comment="Ac2ZrHg PBE relaxed" relative_energy_ev_per_fu=0.00 spacegroup=P4/mmm formation_energy_mev_per_atom=-28 pbc="T T T"
Ac 0.0000 0.0000 2.2585
Ac 0.0000 0.0000 7.0597
Hg 1.8865 1.8865 0.0000
Zr 1.8865 1.8865 4.6591


Entry 2:
6
Lattice="0.0000 3.7542 3.7542 3.7542 0.0000 3.7542 3.7542 3.7542 0.0000" Properties=species:S:1:pos:R:3 comment="TlRu2 PBE relaxed" relative_energy_ev_per_fu=0.97 spacegroup=Fd-3m formation_energy_mev_per_atom=732 pbc="T T T"
Tl 3.7542 3.7542 3.7542
Tl 5.6313 5.6313 5.6313
Ru 2.8157 2.8157 0.9386
Ru 0.9386 2.8157 2.8157
Ru 0.9386 0.9386 0.9386
Ru 2.8157 0.9386 2.8157


Entry 3:
10
Lattice="-2.5074 -0.7913 -6.5872 3.6518 -6.0438 -0.6640 -2.1453 -1.4045 0.9853" Properties=species:S:1:pos:R:3 comment="VNi2Pd2 PBE relaxed" relative_energy_ev_per_fu=1.40 spacegroup=P4/mbm formation_energy_mev_per_atom=185 pbc="T T T"
Pd 2.2395 -5.4925 -2.9531
Pd 0.9726 -2.2942 -1.1526
Pd -1.0952 -1.3425 -4.2981
Pd 0.1717 -4.5408 -6.0986
Ni 0.3420 -6.3030 -4.4107
Ni -1.3429 -1.9366 -1.8552
Ni 0.9360 -4.8155 -0.9972
Ni -1.9369 -3.4240 -5.2687
V 0.0000 0.0000 0.0000
V 0.5722 -3.4175 -3.6256


Entry 4:
12
Lattice="4.5107 0.0000 0.0000 2.2554 3.9064 0.0000 2.2553 1.3021 5.3380" Properties=species:S:1:pos:R:3 comment="CaMnNi2H8 PBE relaxed" final_energy_ev_per_atom=-4.23 spacegroup=R-3 pbc="T T T"
H 5.1266 3.8122 4.5562
H 3.7725 3.7417 0.7818
H 2.2553 1.3021 2.1654
H 5.8648 2.6748 0.7818
H 5.2488 1.4668 4.5562
H 3.8947 1.3963 0.7818
H 6.7660 3.9064 3.1726
H 3.1566 2.5337 4.5562
Ni 6.7660 3.9064 4.7553
Ni 2.2553 1.3021 0.5827
Ca 4.5107 2.6042 2.6690
Mn 0.0000 0.0000 0.0000


| no. | spin magnetization (μB per atom) |
| --- | --- |
| 1 | 0.000 |
| 2 | 0.517 |
| 3 | 0.000 |
| 4 | 0.261 |